1.
Pa2BiPb | GGA-PBE | relaxed

Cell: 5.745 5.745 3.360 Å, 90.00 90.00 90.00°
Space group P4/mmm (No. 123)
One atom of each set of equivalent atoms:
Pa  0.000  0.500  0.000 (multiplicity 2)
Bi  0.000  0.000  0.500 (multiplicity 1)
Pb  0.500  0.500  0.500 (multiplicity 1)

The calculation puts the energy above the most stable polymorph in this dataset at 0.000 eV/atom. For the total magnetization, the calculation gives 0.542 μB per atom. For the formation energy, the calculation gives 0.030 eV per atom.

***

2.
PaBiPb2 | GGA-PBE | relaxed

Cell: 4.756 4.756 5.003 Å, 90.00 90.00 90.00°
Space group P4/mmm (No. 123)
One atom of each set of equivalent atoms:
Pa  0.000  0.000  0.000 (multiplicity 1)
Bi  0.500  0.500  0.000 (multiplicity 1)
Pb  0.000  0.500  0.500 (multiplicity 2)

The calculation puts the energy above the most stable polymorph in this dataset at 0.000 eV/atom. For the total magnetization, the calculation gives 0.000 μB per atom. For the formation energy, the calculation gives -0.049 eV per atom.